## YHfP2Rh5 (PBE)

Data for a relaxed YHfP2Rh5 crystal.

Lattice parameters (Å, degrees): 4.031 4.031 10.277 90.00 90.00 90.00
Sites, in units of the cell vectors:
1 Rh 0.000 0.500 0.821
2 Rh 0.500 0.500 0.500
3 Rh 0.500 0.000 0.179
4 Rh 0.500 0.000 0.821
5 Hf 0.000 0.000 0.000
6 Y 0.000 0.000 0.500
7 Rh 0.000 0.500 0.179
8 P 0.500 0.500 0.280
9 P 0.500 0.500 0.720

Formation energy ... -0.7809 eV/atom
E ... -7.891 eV/atom
Space-group type ... P4/mmm (123)
Size of the total moment ... 0.0 μB/f.u.